# PmYZnCd PBE-GGA optimized geometry
data_PmYZnCd
_cell_length_a 7.4327
_cell_length_b 7.4327
_cell_length_c 7.4327
_cell_angle_alpha 90.00
_cell_angle_beta 90.00
_cell_angle_gamma 90.00
_space_group_name_H-M_alt 'P 1'
_space_group_IT_number 1
_space_group_name_Hall 'P 1'
loop_
_atom_site_label
_atom_site_type_symbol
_atom_site_fract_x
_atom_site_fract_y
_atom_site_fract_z
Pm1 Pm 0.0000 0.0000 0.0000
Pm2 Pm 0.0000 0.5000 0.5000
Pm3 Pm 0.5000 0.0000 0.5000
Pm4 Pm 0.5000 0.5000 0.0000
Y1 Y 0.0000 0.0000 0.5000
Y2 Y 0.0000 0.5000 0.0000
Y3 Y 0.5000 0.0000 0.0000
Y4 Y 0.5000 0.5000 0.5000
Zn1 Zn 0.2500 0.2500 0.7500
Zn2 Zn 0.2500 0.7500 0.2500
Zn3 Zn 0.7500 0.2500 0.2500
Zn4 Zn 0.7500 0.7500 0.7500
Cd1 Cd 0.2500 0.2500 0.2500
Cd2 Cd 0.2500 0.7500 0.7500
Cd3 Cd 0.7500 0.2500 0.7500
Cd4 Cd 0.7500 0.7500 0.2500
# Calculated volume (Å³/f.u.): 103
# Magnetization (μB per cell): 0.8
# Offset from the most stable computed form (eV/f.u.): 0.08
# Uncorrected energy (eV per atom): -3.667
# ΔE_f (meV/atom): -316
# Symmetry: No. 216